Entry from Alexandria via LeMat-Bulk: a relaxed structure of LiNd3Sm4Se8 (PBE).

Cell and atoms, written as POSCAR:
```
LiNd3Sm4Se8
1.0
-1.913 -7.566 -2.998
5.744 -3.436 5.005
-5.992 4.855 3.228
Se Li Sm Nd
8 1 4 3
Direct
0.248 0.245 0.497
0.244 0.747 0.488
0.241 0.253 0.997
0.756 0.253 0.512
0.244 0.747 0.003
0.752 0.755 0.503
0.759 0.747 0.003
0.756 0.253 0.997
0.000 0.500 0.000
0.000 0.000 0.500
0.000 0.000 0.000
0.500 0.000 0.500
0.500 0.000 0.000
0.500 0.500 0.500
0.000 0.500 0.500
0.500 0.500 0.000
```

## Properties
Space-group type   No. 166
E_form (uncorrected)   -28.674 eV per formula unit
M_tot   0.000 μB/atom